Ca2As4IrRh3: relaxed, GGA-PBE.

Cell: 4.227 4.227 10.248 Å, 90.00 90.00 90.00°
Element x y z (fractional)
Ca  0.000  0.500  0.245
Ca  0.500  0.000  0.755
As  0.000  0.000  0.000
As  0.000  0.500  0.635
As  0.500  0.000  0.365
As  0.500  0.500  0.000
Ir  0.000  0.000  0.500
Rh  0.000  0.500  0.872
Rh  0.500  0.000  0.128
Rh  0.500  0.500  0.500

Calculated values
The value obtained for the energy relative to the elements is -0.722 eV per atom. The value obtained for the total magnetization is 0.000 μB per atom. The calculation puts the density of states at the Fermi level at 4.574 states/eV/cell. The calculation puts the energy at -60.732 eV/cell.

=====

La8Tb3: relaxed, GGA-PBE.

Cell: 6.398 6.398 13.304 Å, 103.62 103.62 47.91°
Element x y z (fractional)
La  0.046  0.046  0.318
La  0.137  0.137  0.954
La  0.227  0.227  0.590
La  0.319  0.319  0.227
La  0.681  0.681  0.773
La  0.773  0.773  0.410
La  0.863  0.863  0.046
La  0.954  0.954  0.682
Tb  0.408  0.408  0.866
Tb  0.500  0.500  0.500
Tb  0.592  0.592  0.134

Calculated values
The value obtained for the polymorph energy (0 for the lowest one) is 0 meV per atom. The value obtained for the energy relative to the elements is 0.023 eV per atom. The value obtained for the total magnetization is 0.000 μB per atom. The calculation puts the density of states at the Fermi level at 22.103 states/eV/cell. The calculation puts the energy at -53.053 eV/cell.

=====

RbAgSe2: relaxed, GGA-PBE.

Cell: 9.388 9.388 9.388 Å, 25.24 25.24 25.24°
Element x y z (fractional)
Rb  0.000  0.000  0.000
Ag  0.500  0.500  0.500
Se  0.117  0.117  0.117
Se  0.883  0.883  0.883

Calculated values
The value obtained for the total magnetization is 0.000 μB per atom. The calculation puts the density of states at the Fermi level at 3.816 states/eV/cell. The calculation puts the energy at -10.954 eV/cell. The formation energy (no corrections) comes out at -0.04 eV/atom.

=====

Cs3Se2I9: relaxed, GGA-PBE.

Cell: 8.277 8.277 10.237 Å, 90.00 90.00 120.00°
Element x y z (fractional)
Cs  0.000  0.000  0.000
Cs  0.333  0.667  0.334
Cs  0.667  0.333  0.666
Se  0.333  0.667  0.820
Se  0.667  0.333  0.180
I  0.000  0.500  0.000
I  0.164  0.329  0.669
I  0.164  0.836  0.669
I  0.329  0.164  0.331
I  0.500  0.000  0.000
I  0.500  0.500  0.000
I  0.671  0.836  0.669
I  0.836  0.164  0.331
I  0.836  0.671  0.331

Calculated values
The value obtained for the total magnetization is 0.000 μB per atom. The calculation puts the density of states at the Fermi level at 5.402 states/eV/cell. The calculation puts the energy at -32.231 eV/cell. The formation energy (no corrections) comes out at -0.63 eV/atom.

=====

Ac4SiRhI2: relaxed, GGA-PBE.

Cell: 8.057 4.407 8.721 Å, 90.00 105.68 90.00°
Element x y z (fractional)
Ac  0.218  0.000  0.187
Ac  0.255  0.500  0.810
Ac  0.745  0.500  0.190
Ac  0.782  0.000  0.813
Si  0.500  0.000  0.000
Rh  0.000  0.500  0.000
I  0.000  0.000  0.500
I  0.500  0.500  0.500

Calculated values
The value obtained for the total magnetization is 0.000 μB per atom. The calculation puts the density of states at the Fermi level at 5.648 states/eV/cell. The calculation puts the energy at -39.654 eV/cell. The formation energy (no corrections) comes out at -0.92 eV/atom.

=====

MnZn2RuC: relaxed, GGA-PBE.

Cell: 4.620 4.620 4.239 Å, 90.00 90.00 90.00°
Element x y z (fractional)
Mn  0.000  0.000  0.000
Zn  0.000  0.500  0.000
Zn  0.500  0.000  0.000
Ru  0.000  0.000  0.500
C  0.500  0.500  0.500

Calculated values
The value obtained for the energy relative to the elements is 2.063 eV per atom. The value obtained for the total magnetization is 0.527 μB per atom. The calculation puts the density of states at the Fermi level at 3.866 states/eV/cell. The calculation puts the energy at -19.901 eV/cell.

=====

KSm2AuSe4: relaxed, GGA-PBE.

Cell: 7.457 7.457 14.866 Å, 90.00 90.00 146.98°
Element x y z (fractional)
K  0.124  0.876  0.750
K  0.876  0.124  0.250
Sm  0.368  0.632  0.569
Sm  0.368  0.632  0.931
Sm  0.632  0.368  0.069
Sm  0.632  0.368  0.431
Au  0.154  0.846  0.250
Au  0.846  0.154  0.750
Se  0.000  0.000  0.000
Se  0.000  0.000  0.500
Se  0.267  0.733  0.107
Se  0.267  0.733  0.393
Se  0.453  0.547  0.750
Se  0.547  0.453  0.250
Se  0.733  0.267  0.607
Se  0.733  0.267  0.893

Calculated values
The value obtained for the total magnetization is 0.000 μB per atom. The calculation puts the energy at -78.791 eV/cell. The formation energy (no corrections) comes out at -1.46 eV/atom.

=====

Pr3IrRh: relaxed, GGA-PBE.

Cell: 7.745 7.745 7.745 Å, 55.25 55.25 55.25°
Element x y z (fractional)
Pr  0.092  0.748  0.408
Pr  0.252  0.592  0.908
Pr  0.408  0.092  0.748
Pr  0.592  0.908  0.252
Pr  0.748  0.408  0.092
Pr  0.908  0.252  0.592
Ir  0.329  0.329  0.329
Ir  0.671  0.671  0.671
Rh  0.172  0.172  0.172
Rh  0.828  0.828  0.828

Calculated values
The value obtained for the polymorph energy (0 for the lowest one) is 0 meV per atom. The value obtained for the energy relative to the elements is -0.536 eV per atom. The value obtained for the total magnetization is 0.000 μB per atom. The calculation puts the density of states at the Fermi level at 4.816 states/eV/cell. The calculation puts the energy at -66.463 eV/cell.

=====

TlAg2Br3: relaxed, GGA-PBE.

Cell: 8.546 8.546 5.786 Å, 90.00 90.00 109.20°
Element x y z (fractional)
Tl  0.241  0.759  0.750
Tl  0.759  0.241  0.250
Ag  0.300  0.300  0.000
Ag  0.300  0.300  0.500
Ag  0.700  0.700  0.000
Ag  0.700  0.700  0.500
Br  0.057  0.344  0.750
Br  0.344  0.057  0.250
Br  0.390  0.610  0.250
Br  0.610  0.390  0.750
Br  0.656  0.943  0.750
Br  0.943  0.656  0.250

Calculated values
The value obtained for the polymorph energy (0 for the lowest one) is 15 meV per atom. The value obtained for the total magnetization is 0.000 μB per atom. The calculation puts the density of states at the Fermi level at 0.000 states/eV/cell. The calculation puts the energy at -32.004 eV/cell. The formation energy (no corrections) comes out at -0.49 eV/atom.

=====

Sr5Mg2Hg: relaxed, GGA-PBE.

Cell: 7.589 14.379 5.826 Å, 90.00 90.00 90.00°
Element x y z (fractional)
Sr  0.000  0.000  0.000
Sr  0.122  0.281  0.000
Sr  0.166  0.600  0.500
Sr  0.334  0.100  0.500
Sr  0.378  0.781  0.000
Sr  0.500  0.500  0.000
Sr  0.622  0.219  0.000
Sr  0.666  0.900  0.500
Sr  0.834  0.400  0.500
Sr  0.878  0.719  0.000
Mg  0.136  0.858  0.500
Mg  0.364  0.358  0.500
Mg  0.636  0.642  0.500
Mg  0.864  0.142  0.500
Hg  0.000  0.500  0.000
Hg  0.500  0.000  0.000

Calculated values
The value obtained for the energy relative to the elements is -0.144 eV per atom. The value obtained for the total magnetization is 0.000 μB per atom. The calculation puts the density of states at the Fermi level at 17.642 states/eV/cell. The calculation puts the energy at -26.102 eV/cell.

=====

Pr2Ga8Rh: relaxed, GGA-PBE.

Cell: 4.396 4.396 11.463 Å, 90.00 90.00 90.00°
Element x y z (fractional)
Pr  0.000  0.000  0.194
Pr  0.000  0.000  0.806
Ga  0.000  0.500  0.000
Ga  0.000  0.500  0.383
Ga  0.000  0.500  0.617
Ga  0.500  0.000  0.000
Ga  0.500  0.000  0.383
Ga  0.500  0.000  0.617
Ga  0.500  0.500  0.194
Ga  0.500  0.500  0.806
Rh  0.000  0.000  0.500

Calculated values
The value obtained for the energy relative to the elements is -0.546 eV per atom. The value obtained for the total magnetization is 0.000 μB per atom. The calculation puts the density of states at the Fermi level at 5.784 states/eV/cell. The calculation puts the energy at -47.130 eV/cell.

=====

Zr3Al2: relaxed, GGA-PBE.

Cell: 7.661 5.786 8.662 Å, 60.19 40.95 78.85°
Element x y z (fractional)
Zr  0.000  0.000  0.000
Zr  0.250  0.250  0.250
Zr  0.448  0.537  0.351
Zr  0.537  0.448  0.664
Zr  0.586  0.899  0.713
Zr  0.899  0.586  0.802
Al  0.113  0.774  0.289
Al  0.426  0.961  0.476
Al  0.774  0.113  0.824
Al  0.961  0.426  0.137

Calculated values
The value obtained for the energy relative to the elements is -0.286 eV per atom. The value obtained for the total magnetization is 0.000 μB per atom. The calculation puts the density of states at the Fermi level at 6.918 states/eV/cell. The calculation puts the energy at -69.123 eV/cell.

=====

DyEr5Mg6: relaxed, GGA-PBE.

Cell: 8.454 8.454 7.487 Å, 90.00 90.00 143.12°
Element x y z (fractional)
Dy  0.000  0.000  0.000
Er  0.000  0.000  0.500
Er  0.333  0.667  0.000
Er  0.334  0.666  0.500
Er  0.666  0.334  0.500
Er  0.667  0.333  0.000
Mg  0.167  0.833  0.250
Mg  0.167  0.833  0.750
Mg  0.500  0.500  0.251
Mg  0.500  0.500  0.749
Mg  0.833  0.167  0.250
Mg  0.833  0.167  0.750

Calculated values
The value obtained for the energy relative to the elements is -0.069 eV per atom. The value obtained for the total magnetization is 0.000 μB per atom. The calculation puts the density of states at the Fermi level at 17.014 states/eV/cell. The calculation puts the energy at -37.815 eV/cell.

=====

BIr: relaxed, GGA-PBE.

Cell: 5.767 5.767 5.767 Å, 96.46 96.46 140.81°
Element x y z (fractional)
B  0.097  0.253  0.350
B  0.253  0.903  0.156
B  0.747  0.097  0.844
B  0.903  0.747  0.650
Ir  0.147  0.661  0.809
Ir  0.339  0.147  0.486
Ir  0.661  0.853  0.514
Ir  0.853  0.339  0.191

Calculated values
The value obtained for the energy relative to the elements is -0.016 eV per atom. The value obtained for the total magnetization is 0.000 μB per atom. The calculation puts the density of states at the Fermi level at 3.016 states/eV/cell. The calculation puts the energy at -62.286 eV/cell.

=====

CaMn2Tc: relaxed, GGA-PBE.

Cell: 4.875 4.875 5.287 Å, 104.88 104.88 35.76°
Element x y z (fractional)
Ca  0.000  0.000  0.000
Mn  0.214  0.214  0.664
Mn  0.496  0.496  0.496
Tc  0.783  0.783  0.350

Calculated values
The value obtained for the polymorph energy (0 for the lowest one) is 108 meV per atom. The value obtained for the energy relative to the elements is 0.468 eV per atom. The value obtained for the total magnetization is 0.162 μB per atom. The calculation puts the density of states at the Fermi level at 3.223 states/eV/cell. The calculation puts the energy at -28.834 eV/cell.

=====

BeP2PtO: relaxed, GGA-PBE.

Cell: 4.838 4.838 3.740 Å, 90.00 90.00 90.00°
Element x y z (fractional)
Be  0.000  0.000  0.000
P  0.000  0.500  0.500
P  0.500  0.000  0.500
Pt  0.500  0.500  0.500
O  0.500  0.500  0.000

Calculated values
The value obtained for the polymorph energy (0 for the lowest one) is 915 meV per atom. The value obtained for the total magnetization is 0.127 μB per atom. The calculation puts the density of states at the Fermi level at 3.593 states/eV/cell. The calculation puts the energy at -21.513 eV/cell. The formation energy (no corrections) comes out at 0.81 eV/atom.

=====

ErTh2Mn: relaxed, GGA-PBE.

Cell: 3.563 3.563 8.582 Å, 90.00 90.00 90.00°
Element x y z (fractional)
Er  0.000  0.000  0.000
Th  0.500  0.500  0.292
Th  0.500  0.500  0.708
Mn  0.000  0.000  0.500

Calculated values
The value obtained for the polymorph energy (0 for the lowest one) is 0 meV per atom. The value obtained for the energy relative to the elements is 0.156 eV per atom. The value obtained for the total magnetization is 0.770 μB per atom. The calculation puts the density of states at the Fermi level at 6.376 states/eV/cell. The calculation puts the energy at -27.950 eV/cell.

=====

MgNbCdN2: relaxed, GGA-PBE.

Cell: 4.219 4.219 4.730 Å, 90.00 90.00 90.00°
Element x y z (fractional)
Mg  0.000  0.000  0.000
Nb  0.500  0.500  0.000
Cd  0.000  0.000  0.500
N  0.000  0.500  0.500
N  0.500  0.000  0.500

Calculated values
The value obtained for the total magnetization is 0.000 μB per atom. The calculation puts the density of states at the Fermi level at 5.062 states/eV/cell. The calculation puts the energy at -19.057 eV/cell. The formation energy (no corrections) comes out at 2.03 eV/atom.

=====

Sr3SnW: relaxed, GGA-PBE.

Cell: 6.262 6.262 6.262 Å, 90.00 90.00 90.00°
Element x y z (fractional)
Sr  0.000  0.000  0.500
Sr  0.000  0.500  0.000
Sr  0.500  0.000  0.000
Sn  0.000  0.000  0.000
W  0.500  0.500  0.500

Calculated values
The value obtained for the polymorph energy (0 for the lowest one) is 113 meV per atom. The value obtained for the energy relative to the elements is 1.033 eV per atom. The value obtained for the total magnetization is 1.176 μB per atom. The calculation puts the density of states at the Fermi level at 2.987 states/eV/cell. The calculation puts the energy at -16.836 eV/cell.

=====

SiB2Br: relaxed, GGA-PBE.

Cell: 4.213 4.213 4.213 Å, 60.00 60.00 60.00°
Element x y z (fractional)
Si  0.000  0.000  0.000
B  0.250  0.250  0.250
B  0.750  0.750  0.750
Br  0.500  0.500  0.500

Calculated values
The value obtained for the polymorph energy (0 for the lowest one) is 2001 meV per atom. The value obtained for the total magnetization is 0.000 μB per atom. The calculation puts the density of states at the Fermi level at 1.814 states/eV/cell. The calculation puts the energy at -12.460 eV/cell. The formation energy (no corrections) comes out at 2.00 eV/atom.